## Tl2AgPb (PBE)

Data for a geometry-optimized Tl2AgPb structure.

```
Tl2AgPb
1.0
1.744 1.007 10.460
-1.744 1.007 10.460
0.000 -2.014 10.460
Tl Ag Pb
2 1 1
direct
0.000 0.000 0.000
0.185 0.185 0.185
0.593 0.593 0.593
0.426 0.426 0.426
```

Values from the calculation:
DOS(E_F)	0.4321	states/eV/atom
space-group type	No. 160
formation energy from the elements	106	meV/atom
V	27.5	Å³ per atom